Computed, not measured: a relaxed structure of TiCrGa2 at the PBE-GGA level of DFT.

Calculated values
electronic total energy	-6.029	eV/atom
crystal system	cubic
formation energy	-0.136	eV/atom

Cell lengths 4.391, 4.391, 4.391 Å; angles 60.00, 60.00, 60.00 degrees
Atoms (fractional coordinates):
Ti1 0.000 0.000 0.000
Cr1 0.500 0.500 0.500
Ga1 0.250 0.250 0.250
Ga2 0.750 0.750 0.750